# Ti3V2SbP6O24 SCAN PBEsol geometry
# - energy relative to the elements, uncorrected (eV per atom) = -2.588
# - final energy (eV per atom) = -11.8180
data_Ti3V2SbP6O24
_symmetry_space_group_name_H-M 'R 3'
_symmetry_Int_Tables_number 146
_symmetry_space_group_name_Hall 'R 3'
_cell_length_a 8.7333
_cell_length_b 8.7333
_cell_length_c 20.0155
_cell_angle_alpha 90.00
_cell_angle_beta 90.00
_cell_angle_gamma 120.00
loop_
_atom_site_label
_atom_site_type_symbol
_atom_site_fract_x
_atom_site_fract_y
_atom_site_fract_z
Ti1 Ti 0.0000 0.0000 0.0000
Ti2 Ti 0.0000 0.0000 0.2114
Ti3 Ti 0.0000 0.0000 0.7040
V1 V 0.0000 0.0000 0.3546
V2 V 0.0000 0.0000 0.8525
Sb1 Sb 0.0000 0.0000 0.5093
P1 P 0.0015 0.3135 0.5989
P2 P 0.0378 0.6716 0.7710
O1 O 0.0075 0.1698 0.9312
O2 O 0.0084 0.1747 0.2826
O3 O 0.0110 0.8350 0.7754
O4 O 0.0155 0.1952 0.6527
O5 O 0.0850 0.4144 0.1950
O6 O 0.1373 0.6724 0.8341
O7 O 0.1484 0.6832 0.7099
O8 O 0.1638 0.6829 0.0945

# Ti3VSb2P6O24 SCAN PBEsol geometry
# - energy relative to the elements, uncorrected (eV per atom) = -2.479
# - final energy (eV per atom) = -12.2575
data_Ti3VSb2P6O24
_symmetry_space_group_name_H-M 'R 3'
_symmetry_Int_Tables_number 146
_symmetry_space_group_name_Hall 'R 3'
_cell_length_a 8.5228
_cell_length_b 8.5228
_cell_length_c 22.4358
_cell_angle_alpha 90.00
_cell_angle_beta 90.00
_cell_angle_gamma 120.00
loop_
_atom_site_label
_atom_site_type_symbol
_atom_site_fract_x
_atom_site_fract_y
_atom_site_fract_z
Ti1 Ti 0.0000 0.0000 0.0000
Ti2 Ti 0.0000 0.0000 0.2057
Ti3 Ti 0.0000 0.0000 0.5025
V1 V 0.0000 0.0000 0.7063
Sb1 Sb 0.0000 0.0000 0.3512
Sb2 Sb 0.0000 0.0000 0.8460
P1 P 0.0442 0.6672 0.7707
P2 P 0.0463 0.3779 0.2717
O1 O 0.0155 0.8160 0.0472
O2 O 0.0172 0.1982 0.5478
O3 O 0.0191 0.1833 0.2653
O4 O 0.0273 0.8420 0.7680
O5 O 0.1523 0.6856 0.8271
O6 O 0.1571 0.4589 0.3278
O7 O 0.1673 0.6861 0.1086
O8 O 0.1700 0.4769 0.6092

# TiV3Sb2P6O24 SCAN PBEsol geometry
# - energy relative to the elements, uncorrected (eV per atom) = -2.408
# - final energy (eV per atom) = -12.2675
data_TiV3Sb2P6O24
_symmetry_space_group_name_H-M 'R 3'
_symmetry_Int_Tables_number 146
_symmetry_space_group_name_Hall 'R 3'
_cell_length_a 8.5635
_cell_length_b 8.5635
_cell_length_c 21.8508
_cell_angle_alpha 90.00
_cell_angle_beta 90.00
_cell_angle_gamma 120.00
loop_
_atom_site_label
_atom_site_type_symbol
_atom_site_fract_x
_atom_site_fract_y
_atom_site_fract_z
Ti1 Ti 0.0000 0.0000 0.0000
V1 V 0.0000 0.0000 0.2076
V2 V 0.0000 0.0000 0.4983
V3 V 0.0000 0.0000 0.7061
Sb1 Sb 0.0000 0.0000 0.3488
Sb2 Sb 0.0000 0.0000 0.8467
P1 P 0.0004 0.7121 0.6035
P2 P 0.0448 0.3774 0.7714
O1 O 0.0156 0.8124 0.5445
O2 O 0.0172 0.1810 0.7707
O3 O 0.0247 0.8394 0.2703
O4 O 0.1436 0.4763 0.7127
O5 O 0.1463 0.6796 0.3288
O6 O 0.1471 0.4639 0.8296
O7 O 0.1651 0.6811 0.6054
O8 O 0.1706 0.4776 0.1026

# VSb3P6O24 SCAN PBEsol geometry
# - energy relative to the elements, uncorrected (eV per atom) = -2.162
# - final energy (eV per atom) = -12.1975
data_VSb3P6O24
_symmetry_space_group_name_H-M 'R 3'
_symmetry_Int_Tables_number 146
_symmetry_space_group_name_Hall 'R 3'
_cell_length_a 8.3313
_cell_length_b 8.3313
_cell_length_c 22.4415
_cell_angle_alpha 90.00
_cell_angle_beta 90.00
_cell_angle_gamma 120.00
loop_
_atom_site_label
_atom_site_type_symbol
_atom_site_fract_x
_atom_site_fract_y
_atom_site_fract_z
V1 V 0.0000 0.0000 0.0000
Sb1 Sb 0.0000 0.0000 0.2087
Sb2 Sb 0.0000 0.0000 0.5063
Sb3 Sb 0.0000 0.0000 0.7151
P1 P 0.0027 0.7099 0.6076
P2 P 0.0510 0.3796 0.7738
O1 O 0.0322 0.8304 0.9494
O2 O 0.0841 0.8590 0.5576
O3 O 0.0869 0.8651 0.2591
O4 O 0.1430 0.4728 0.7164
O5 O 0.1486 0.6895 0.3330
O6 O 0.1666 0.4672 0.4369
O7 O 0.1917 0.4399 0.8266
O8 O 0.1946 0.4416 0.1215

# V3SbP6O24 SCAN PBEsol geometry
# - energy relative to the elements, uncorrected (eV per atom) = -2.371
# - final energy (eV per atom) = -11.2437
data_V3SbP6O24
_symmetry_space_group_name_H-M 'R 3'
_symmetry_Int_Tables_number 146
_symmetry_space_group_name_Hall 'R 3'
_cell_length_a 8.3583
_cell_length_b 8.3583
_cell_length_c 21.7733
_cell_angle_alpha 90.00
_cell_angle_beta 90.00
_cell_angle_gamma 120.00
loop_
_atom_site_label
_atom_site_type_symbol
_atom_site_fract_x
_atom_site_fract_y
_atom_site_fract_z
V1 V 0.0000 0.0000 0.0000
V2 V 0.0000 0.0000 0.2147
V3 V 0.0000 0.0000 0.7185
Sb1 Sb 0.0000 0.0000 0.5032
P1 P 0.0021 0.2862 0.6095
P2 P 0.0551 0.6719 0.7754
O1 O 0.0047 0.8192 0.0497
O2 O 0.0072 0.1845 0.9508
O3 O 0.0641 0.2120 0.2625
O4 O 0.0757 0.2223 0.5541
O5 O 0.1548 0.6712 0.4351
O6 O 0.1577 0.4768 0.3339
O7 O 0.1847 0.7251 0.8307
O8 O 0.1907 0.7394 0.1163

# V3SbP4O16 SCAN PBEsol geometry
# - energy relative to the elements, uncorrected (eV per atom) = -2.386
# - final energy (eV per atom) = -12.0118
data_V3SbP4O16
_symmetry_space_group_name_H-M 'P 1 m 1'
_symmetry_Int_Tables_number 6
_cell_length_a 4.864
_cell_length_b 5.763
_cell_length_c 10.266
_cell_angle_alpha 90.00
_cell_angle_beta 91.93
_cell_angle_gamma 90.00
loop_
_symmetry_equiv_pos_as_xyz
'x,y,z'
'x,-y,z'
loop_
_atom_site_label
_atom_site_type_symbol
_atom_site_fract_x
_atom_site_fract_y
_atom_site_fract_z
V1 V 0.000 0.000 0.000
V2 V 0.096 0.500 0.563
V3 V 0.506 0.500 0.039
Sb1 Sb 0.578 0.000 0.497
P1 P 0.125 0.000 0.698
P2 P 0.448 0.000 0.162
P3 P 0.668 0.500 0.371
P4 P 0.939 0.500 0.868
O1 O 0.203 0.000 0.842
O2 O 0.249 0.500 0.891
O3 O 0.260 0.213 0.628
O4 O 0.301 0.208 0.087
O5 O 0.370 0.000 0.302
O6 O 0.379 0.500 0.422
O7 O 0.677 0.500 0.224
O8 O 0.757 0.000 0.145
O9 O 0.796 0.294 0.944
O10 O 0.815 0.000 0.674
O11 O 0.844 0.296 0.438
O12 O 0.864 0.500 0.722

# SbP6W3O24 SCAN PBEsol geometry
# - energy relative to the elements, uncorrected (eV per atom) = -2.199
# - final energy (eV per atom) = -15.6772
data_SbP6W3O24
_symmetry_space_group_name_H-M 'R 3'
_symmetry_Int_Tables_number 146
_symmetry_space_group_name_Hall 'R 3'
_cell_length_a 8.6891
_cell_length_b 8.6891
_cell_length_c 22.3715
_cell_angle_alpha 90.00
_cell_angle_beta 90.00
_cell_angle_gamma 120.00
loop_
_atom_site_label
_atom_site_type_symbol
_atom_site_fract_x
_atom_site_fract_y
_atom_site_fract_z
Sb1 Sb 0.0000 0.0000 0.0000
P1 P 0.0006 0.2886 0.1109
P2 P 0.0682 0.6851 0.2768
W1 W 0.0000 0.0000 0.2178
W2 W 0.0000 0.0000 0.5027
W3 W 0.0000 0.0000 0.7170
O1 O 0.0178 0.8316 0.2705
O2 O 0.0199 0.1977 0.4569
O3 O 0.0576 0.2097 0.7668
O4 O 0.0709 0.2333 0.0585
O5 O 0.1568 0.4707 0.8343
O6 O 0.1660 0.7428 0.6119
O7 O 0.1784 0.7051 0.2199
O8 O 0.1897 0.7309 0.3323

# Sb3P6WO24 SCAN PBEsol geometry
# - energy relative to the elements, uncorrected (eV per atom) = -2.087
# - final energy (eV per atom) = -13.6584
data_Sb3P6WO24
_symmetry_space_group_name_H-M 'R 3'
_symmetry_Int_Tables_number 146
_symmetry_space_group_name_Hall 'R 3'
_cell_length_a 8.5643
_cell_length_b 8.5643
_cell_length_c 22.9157
_cell_angle_alpha 90.00
_cell_angle_beta 90.00
_cell_angle_gamma 120.00
loop_
_atom_site_label
_atom_site_type_symbol
_atom_site_fract_x
_atom_site_fract_y
_atom_site_fract_z
Sb1 Sb 0.0000 0.0000 0.0000
Sb2 Sb 0.0000 0.0000 0.2141
Sb3 Sb 0.0000 0.0000 0.7133
P1 P 0.0107 0.2845 0.6093
P2 P 0.0411 0.6712 0.7724
W1 W 0.0000 0.0000 0.5062
O1 O 0.0106 0.1895 0.9416
O2 O 0.0486 0.8116 0.0490
O3 O 0.0513 0.2117 0.6660
O4 O 0.0622 0.2020 0.5562
O5 O 0.0841 0.5180 0.9372
O6 O 0.1712 0.7115 0.4288
O7 O 0.1773 0.7154 0.1279
O8 O 0.1828 0.7511 0.8195

# Sc2P3O12 SCAN PBEsol geometry
# - energy relative to the elements, uncorrected (eV per atom) = -2.557
# - final energy (eV per atom) = -10.4658
data_Sc2P3O12
_symmetry_space_group_name_H-M 'P b c n'
_symmetry_Int_Tables_number 60
_cell_length_a 12.665
_cell_length_b 9.033
_cell_length_c 9.044
_cell_angle_alpha 90.00
_cell_angle_beta 90.00
_cell_angle_gamma 90.00
loop_
_symmetry_equiv_pos_as_xyz
'x,y,z'
'-x,-y,-z'
'-x+1/2,-y+1/2,z+1/2'
'x+1/2,y+1/2,-z+1/2'
'x+1/2,-y+1/2,-z'
'-x+1/2,y+1/2,z'
'-x,y,-z+1/2'
'x,-y,z+1/2'
loop_
_atom_site_label
_atom_site_type_symbol
_atom_site_fract_x
_atom_site_fract_y
_atom_site_fract_z
Sc1 Sc 0.118 0.250 0.029
P1 P 0.000 0.028 0.750
P2 P 0.142 0.387 0.392
O1 O 0.037 0.322 0.446
O2 O 0.066 0.126 0.853
O3 O 0.074 0.069 0.158
O4 O 0.139 0.445 0.915
O5 O 0.154 0.352 0.227
O6 O 0.232 0.319 0.481

# Sc2PO SCAN PBEsol geometry
# - energy relative to the elements, uncorrected (eV per atom) = -1.415
# - final energy (eV per atom) = -12.6912
data_Sc2PO
_symmetry_space_group_name_H-M 'R -3 m'
_symmetry_Int_Tables_number 166
_symmetry_space_group_name_Hall '-R 3 2"'
_cell_length_a 3.1322
_cell_length_b 3.1322
_cell_length_c 22.4507
_cell_angle_alpha 90.00
_cell_angle_beta 90.00
_cell_angle_gamma 120.00
loop_
_atom_site_label
_atom_site_type_symbol
_atom_site_fract_x
_atom_site_fract_y
_atom_site_fract_z
Sc1 Sc 0.0000 0.0000 0.1112
P1 P 0.0000 0.0000 0.0000
O1 O 0.0000 0.0000 0.5000

# ScP2O7 SCAN PBEsol geometry
# - energy relative to the elements, uncorrected (eV per atom) = -2.640
# - final energy (eV per atom) = -10.5055
data_ScP2O7
_symmetry_space_group_name_H-M 'P 1 21 1'
_symmetry_Int_Tables_number 4
_cell_length_a 5.145
_cell_length_b 8.465
_cell_length_c 7.124
_cell_angle_alpha 90.00
_cell_angle_beta 105.44
_cell_angle_gamma 90.00
loop_
_symmetry_equiv_pos_as_xyz
'x,y,z'
'-x,y+1/2,-z'
loop_
_atom_site_label
_atom_site_type_symbol
_atom_site_fract_x
_atom_site_fract_y
_atom_site_fract_z
Sc1 Sc 0.204 0.000 0.229
P1 P 0.262 0.262 0.614
P2 P 0.384 0.682 0.009
O1 O 0.029 0.330 0.684
O2 O 0.153 0.564 0.970
O3 O 0.164 0.163 0.433
O4 O 0.281 0.850 0.015
O5 O 0.427 0.141 0.778
O6 O 0.448 0.161 0.136
O7 O 0.452 0.395 0.593

no.,total moment (μB per atom)
1,0.1944
2,0.1391
3,0.1946
4,0.0589
5,0.0588
6,0.2500
7,0.0326
8,0.0296
9,0.1768
10,0.1112
11,0.1002